# 1
# PBE Li2MgCdHg2, optimized geometry
data_Li2MgCdHg2
_chemical_formula_sum 'Li2 Mg1 Cd1 Hg2'
_cell_length_a 4.7449
_cell_length_b 4.7449
_cell_length_c 5.9647
_cell_angle_alpha 90.00
_cell_angle_beta 90.00
_cell_angle_gamma 120.00
_symmetry_space_group_name_H-M 'P -3 m 1'
_symmetry_Int_Tables_number 164
_symmetry_space_group_name_Hall '-P 3 2"'
loop_
_atom_site_label
_atom_site_type_symbol
_atom_site_fract_x
_atom_site_fract_y
_atom_site_fract_z
Li1 Li 0.3333 0.6667 0.1926
Mg1 Mg 0.0000 0.0000 0.5000
Cd1 Cd 0.0000 0.0000 0.0000
Hg1 Hg 0.3333 0.6667 0.7038
# ΔE_f   -299 meV/atom

---

# 2
# PBE SrPu4Rh4, optimized geometry
data_SrPu4Rh4
_chemical_formula_sum 'Sr2 Pu8 Rh8'
_cell_length_a 8.478
_cell_length_b 8.478
_cell_length_c 5.650
_cell_angle_alpha 90.00
_cell_angle_beta 90.00
_cell_angle_gamma 90.00
_symmetry_space_group_name_H-M 'P 42/n n m'
_symmetry_Int_Tables_number 134
loop_
_symmetry_equiv_pos_as_xyz
'x,y,z'
'-x,-y,-z'
'-y+1/2,x,z+1/2'
'y+1/2,-x,-z+1/2'
'-x+1/2,-y+1/2,z'
'x+1/2,y+1/2,-z'
'y,-x+1/2,z+1/2'
'-y,x+1/2,-z+1/2'
'x,-y+1/2,-z+1/2'
'-x,y+1/2,z+1/2'
'-y+1/2,-x+1/2,-z'
'y+1/2,x+1/2,z'
'-x+1/2,y,-z+1/2'
'x+1/2,-y,z+1/2'
'y,x,-z'
'-y,-x,z'
loop_
_atom_site_label
_atom_site_type_symbol
_atom_site_fract_x
_atom_site_fract_y
_atom_site_fract_z
Sr1 Sr 0.250 0.750 0.250
Pu1 Pu 0.133 0.133 0.000
Rh1 Rh 0.082 0.582 0.825
# ΔE_f   -126 meV/atom

---

# 3
# PBE Pu4Sn5, optimized geometry
data_Pu4Sn5
_chemical_formula_sum 'Pu8 Sn10'
_cell_length_a 9.3750
_cell_length_b 9.3750
_cell_length_c 6.3211
_cell_angle_alpha 90.00
_cell_angle_beta 90.00
_cell_angle_gamma 120.00
_symmetry_space_group_name_H-M 'P 63/m c m'
_symmetry_Int_Tables_number 193
_symmetry_space_group_name_Hall '-P 6c 2'
loop_
_atom_site_label
_atom_site_type_symbol
_atom_site_fract_x
_atom_site_fract_y
_atom_site_fract_z
Pu1 Pu 0.0000 0.0000 0.0000
Pu2 Pu 0.0000 0.3726 0.2500
Sn1 Sn 0.0000 0.2983 0.7500
Sn2 Sn 0.3333 0.6667 0.0000
# ΔE_f   -280 meV/atom

---

# 4
# PBE Tb3Sm2Ho3, optimized geometry
data_Tb3Sm2Ho3
_chemical_formula_sum 'Tb6 Sm4 Ho6'
_cell_length_a 23.874
_cell_length_b 3.579
_cell_length_c 6.198
_cell_angle_alpha 90.00
_cell_angle_beta 105.04
_cell_angle_gamma 90.00
_symmetry_space_group_name_H-M 'C 1 2/m 1'
_symmetry_Int_Tables_number 12
_symmetry_space_group_name_Hall '-C 2y'
loop_
_atom_site_label
_atom_site_type_symbol
_atom_site_fract_x
_atom_site_fract_y
_atom_site_fract_z
Tb1 Tb 0.000 0.000 0.000
Tb2 Tb 0.124 0.000 0.457
Sm1 Sm 0.250 0.000 0.250
Ho1 Ho 0.000 0.500 0.500
Ho2 Ho 0.124 0.500 0.956
# E above lowest polymorph   0 meV per atom
# ΔE_f   2 meV/atom

---

# 5
# PBE BeWSe2, optimized geometry
data_BeWSe2
_chemical_formula_sum 'Be1 W1 Se2'
_cell_length_a 3.143
_cell_length_b 3.143
_cell_length_c 6.240
_cell_angle_alpha 90.00
_cell_angle_beta 90.00
_cell_angle_gamma 90.00
_symmetry_space_group_name_H-M 'P 4/m m m'
_symmetry_Int_Tables_number 123
_symmetry_space_group_name_Hall '-P 4 2'
loop_
_atom_site_label
_atom_site_type_symbol
_atom_site_fract_x
_atom_site_fract_y
_atom_site_fract_z
Be1 Be 0.000 0.000 0.000
W1 W 0.000 0.000 0.500
Se1 Se 0.500 0.500 0.251
# Energy relative to the elements, uncorrected   0.40 eV/atom

---

# 6
# PBE Mg2ZnPd4, optimized geometry
data_Mg2ZnPd4
_chemical_formula_sum 'Mg4 Zn2 Pd8'
_cell_length_a 4.575
_cell_length_b 4.575
_cell_length_c 13.262
_cell_angle_alpha 90.00
_cell_angle_beta 90.00
_cell_angle_gamma 90.00
_symmetry_space_group_name_H-M 'I 4/m m m'
_symmetry_Int_Tables_number 139
_symmetry_space_group_name_Hall '-I 4 2'
loop_
_atom_site_label
_atom_site_type_symbol
_atom_site_fract_x
_atom_site_fract_y
_atom_site_fract_z
Mg1 Mg 0.000 0.000 0.124
Zn1 Zn 0.000 0.000 0.500
Pd1 Pd 0.000 0.000 0.317
Pd2 Pd 0.000 0.500 0.000
# E above lowest polymorph   467 meV per atom
# ΔE_f   -27 meV/atom

---

# 7
# PBE TaNi2P, optimized geometry
data_TaNi2P
_chemical_formula_sum 'Ta2 Ni4 P2'
_cell_length_a 5.002
_cell_length_b 7.331
_cell_length_c 2.930
_cell_angle_alpha 90.00
_cell_angle_beta 90.00
_cell_angle_gamma 90.00
_symmetry_space_group_name_H-M 'C m m m'
_symmetry_Int_Tables_number 65
_symmetry_space_group_name_Hall '-C 2 2'
loop_
_atom_site_label
_atom_site_type_symbol
_atom_site_fract_x
_atom_site_fract_y
_atom_site_fract_z
Ta1 Ta 0.000 0.000 0.000
Ni1 Ni 0.250 0.250 0.500
P1 P 0.000 0.500 0.000
# ΔE_f   -99 meV/atom

---

# 8
# PBE KOs, optimized geometry
data_KOs
_chemical_formula_sum 'K4 Os4'
_cell_length_a 6.688
_cell_length_b 6.688
_cell_length_c 6.688
_cell_angle_alpha 90.00
_cell_angle_beta 90.00
_cell_angle_gamma 90.00
_symmetry_space_group_name_H-M 'F m -3 m'
_symmetry_Int_Tables_number 225
_symmetry_space_group_name_Hall '-F 4 2 3'
loop_
_atom_site_label
_atom_site_type_symbol
_atom_site_fract_x
_atom_site_fract_y
_atom_site_fract_z
K1 K 0.000 0.000 0.000
Os1 Os 0.000 0.000 0.500
# E above lowest polymorph   2301 meV per atom
# ΔE_f   3000 meV/atom